(1)
VASP calculation (PBE) on a geometry-optimized Rb5PaS6 structure.

a = 7.9814 Å, b = 9.1883 Å, c = 8.0748 Å
α = 107.04°, β = 100.17°, γ = 123.95°
Each line ends with the local moment (μB).
Fractional positions:
1 S 0.6001 0.8042 0.0000  0.23
2 S 0.8704 0.6618 0.7304  0.21
3 S 0.1400 0.9313 0.2696  0.21
4 S 0.8600 0.0687 0.7304  0.21
5 S 0.3999 0.1958 0.0000  0.23
6 S 0.1296 0.3382 0.2696  0.21
7 Rb 0.3338 0.3338 0.6676  0.01
8 Rb 0.0000 0.5000 0.0000  0.01
9 Rb 0.3268 0.8268 0.6537  0.01
10 Rb 0.6662 0.6662 0.3324  0.01
11 Rb 0.6732 0.1732 0.3463  0.01
12 Pa 0.0000 0.0000 0.0000  -0.16

Results
Symmetry: C2/m (12)

---

(2)
VASP calculation (PBE) on a geometry-optimized Rb3Pa2S7 structure.

a = 5.2834 Å, b = 5.3299 Å, c = 13.5321 Å
α = 101.36°, β = 90.00°, γ = 90.00°
Fractional positions:
1 S 0.0000 0.8046 0.6093
2 S 0.0000 0.1954 0.3907
3 S 0.5000 0.0969 0.1939
4 S 0.0000 0.0000 0.0000
5 S 0.0000 0.4021 0.8042
6 S 0.0000 0.5979 0.1958
7 S 0.5000 0.9031 0.8061
8 Rb 0.5000 0.5000 0.0000
9 Rb 0.5000 0.6878 0.3756
10 Rb 0.5000 0.3122 0.6244
11 Pa 0.0000 0.1008 0.2016
12 Pa 0.0000 0.8992 0.7984

Results
Symmetry: Cmmm (65)
E above lowest polymorph in meV per atom: 0

---

(3)
VASP calculation (PBE) on a geometry-optimized Rb2PaS4 structure.

a = 4.2419 Å, b = 8.1433 Å, c = 13.7226 Å
α = 90.00°, β = 90.00°, γ = 90.00°
Each line ends with the local moment (μB).
Fractional positions:
1 S 0.0000 0.3762 0.1700  0.17
2 S 0.0000 0.8762 0.3300  0.17
3 S 0.5000 0.6955 0.0464  0.16
4 S 0.5000 0.1955 0.4536  0.16
5 S 0.0000 0.1238 0.6700  0.17
6 S 0.5000 0.8045 0.5464  0.16
7 S 0.5000 0.3045 0.9536  0.16
8 S 0.0000 0.6238 0.8300  0.17
9 Pa 0.0000 0.0000 0.5000  -0.08
10 Pa 0.0000 0.5000 0.0000  -0.08
11 Rb 0.5000 0.4376 0.6789  0.01
12 Rb 0.5000 0.0624 0.1789  0.01
13 Rb 0.5000 0.9376 0.8211  0.01
14 Rb 0.5000 0.5624 0.3211  0.01

Results
Symmetry: Pbam (55)
E above lowest polymorph in meV per atom: 0

---

| no. | formation energy from raw total energies (eV per formula unit) |
| --- | --- |
| 1 | -13.9 |
| 2 | -16.9 |
| 3 | -8.9 |